# 1
This record from the Alexandria database describes a relaxed AsRu3Se crystal. The functional is PBE.

Cell and atoms, written as POSCAR:
```
AsRu3Se
1.0
4.539 0.000 0.000
0.000 4.539 0.000
0.000 0.000 4.539
As Ru Se
1 3 1
Direct
0.000 0.000 0.000 As
0.000 0.500 0.500 Ru
0.500 0.000 0.500 Ru
0.500 0.500 0.000 Ru
0.500 0.500 0.500 Se
```

Its polymorph energy (0 for the lowest one) is 0 meV per atom. The total magnetization is 0.000 μB per cell.

=====

# 2
This record from the Alexandria database describes a relaxed AsRuSe3 crystal. The functional is PBE.

Cell and atoms, written as POSCAR:
```
AsRuSe3
1.0
4.838 0.000 0.000
0.000 4.838 0.000
0.000 0.000 4.838
As Ru Se
1 1 3
Direct
0.000 0.000 0.000 As
0.500 0.500 0.500 Ru
0.000 0.500 0.500 Se
0.500 0.000 0.500 Se
0.500 0.500 0.000 Se
```

Its polymorph energy (0 for the lowest one) is 0 meV per atom. The total magnetization is 0.000 μB per cell.

=====

# 3
This record from the Alexandria database describes a relaxed AsRuSe2 crystal. The functional is PBE.

Cell and atoms, written as POSCAR:
```
AsRuSe2
1.0
4.652 0.000 0.000
0.000 4.652 0.000
0.000 0.000 3.180
As Ru Se
1 1 2
Direct
0.000 0.000 0.000 As
0.500 0.500 0.000 Ru
0.000 0.500 0.500 Se
0.500 0.000 0.500 Se
```

The total magnetization is 0.000 μB per cell.

=====

# 4
This record from the Alexandria database describes a relaxed AsRuSe2 crystal. The functional is PBE.

Cell and atoms, written as POSCAR:
```
AsRuSe2
1.0
2.900 0.000 0.000
0.000 2.900 0.000
0.000 0.000 9.652
As Ru Se
1 1 2
Direct
0.000 0.000 0.000 As
0.500 0.500 0.176 Ru
0.000 0.000 0.344 Se
0.500 0.500 0.672 Se
```

The total magnetization is 0.000 μB per cell.

=====

# 5
This record from the Alexandria database describes a relaxed AsRuSe2 crystal. The functional is PBE.

Cell and atoms, written as POSCAR:
```
AsRuSe2
1.0
1.804 1.042 8.017
-1.804 1.042 8.017
0.000 -2.083 8.017
As Ru Se
1 1 2
Direct
0.000 0.000 0.000 As
0.500 0.500 0.500 Ru
0.110 0.110 0.110 Se
0.890 0.890 0.890 Se
```

The total magnetization is 0.000 μB per cell.

=====

# 6
This record from the Alexandria database describes a relaxed AsRuSe2 crystal. The functional is PBE.

Cell and atoms, written as POSCAR:
```
AsRuSe2
1.0
4.860 0.000 0.000
0.000 3.751 0.000
-2.233 0.000 4.374
As Ru Se
1 1 2
Direct
0.000 0.000 0.000 As
0.500 0.000 0.000 Ru
0.320 0.500 0.617 Se
0.680 0.500 0.383 Se
```

The total magnetization is 0.000 μB per cell.

=====

# 7
This record from the Alexandria database describes a relaxed AsRuSe2 crystal. The functional is PBE.

Cell and atoms, written as POSCAR:
```
AsRuSe2
1.0
1.486 -2.465 0.000
1.486 2.465 0.000
0.000 0.000 10.648
As Ru Se
1 1 2
Direct
0.000 0.000 0.000 As
0.500 0.500 0.805 Ru
0.000 0.000 0.613 Se
0.500 0.500 0.306 Se
```

The total magnetization is 0.000 μB per cell.

=====

# 8
This record from the Alexandria database describes a relaxed AsRuSe2 crystal. The functional is PBE.

Cell and atoms, written as POSCAR:
```
AsRuSe2
1.0
-2.646 2.646 2.619
2.646 -2.646 2.619
2.646 2.646 -2.619
As Ru Se
1 1 2
Direct
0.000 0.000 0.000 As
0.500 0.500 0.000 Ru
0.000 0.500 0.500 Se
0.500 0.000 0.500 Se
```

The total magnetization is 0.000 μB per cell.

=====

# 9
This record from the Alexandria database describes a relaxed AsRuSe2 crystal. The functional is PBE.

Cell and atoms, written as POSCAR:
```
AsRuSe2
1.0
4.146 -1.843 0.000
4.146 1.843 0.000
-2.290 0.000 6.008
As Ru Se
1 1 2
Direct
0.000 0.000 0.000 As
0.296 0.296 0.997 Ru
0.708 0.708 0.698 Se
0.878 0.878 0.300 Se
```

The total magnetization is 0.000 μB per cell.

=====

# 10
This record from the Alexandria database describes a relaxed AsRuSe2 crystal. The functional is PBE.

Cell and atoms, written as POSCAR:
```
AsRuSe2
1.0
1.488 -2.479 0.000
1.488 2.479 0.000
0.000 0.000 10.569
As Ru Se
1 1 2
Direct
0.000 0.000 0.000 As
0.000 0.000 0.500 Ru
0.500 0.500 0.305 Se
0.500 0.500 0.695 Se
```

The total magnetization is 0.001 μB per cell.

=====

# 11
This record from the Alexandria database describes a relaxed AsRuSe2 crystal. The functional is PBE.

Cell and atoms, written as POSCAR:
```
AsRuSe2
1.0
-2.174 2.174 3.654
2.174 -2.174 3.654
2.174 2.174 -3.654
As Ru Se
1 1 2
Direct
0.000 0.000 0.000 As
0.250 0.750 0.500 Ru
0.500 0.500 0.000 Se
0.750 0.250 0.500 Se
```

The total magnetization is 0.000 μB per cell.

=====

# 12
This record from the Alexandria database describes a relaxed AsRuSe2 crystal. The functional is PBE.

Cell and atoms, written as POSCAR:
```
AsRuSe2
1.0
1.705 0.985 8.477
-1.705 0.985 8.477
0.000 -1.969 8.477
As Ru Se
1 1 2
Direct
0.000 0.000 0.000 As
0.257 0.257 0.257 Ru
0.536 0.536 0.536 Se
0.733 0.733 0.733 Se
```

The total magnetization is 0.000 μB per cell.

=====

# 13
This record from the Alexandria database describes a relaxed AsRuSe2 crystal. The functional is PBE.

Cell and atoms, written as POSCAR:
```
AsRuSe2
1.0
-3.181 3.181 4.668
3.181 -3.181 4.668
3.181 3.181 -4.668
As Ru Se
2 2 4
Direct
0.000 0.000 0.000 As
0.750 0.250 0.500 As
0.250 0.750 0.500 Ru
0.500 0.500 0.000 Ru
0.165 0.625 0.040 Se
0.375 0.415 0.540 Se
0.585 0.125 0.960 Se
0.875 0.835 0.460 Se
```

The total magnetization is 0.000 μB per cell.

=====

# 14
This record from the Alexandria database describes a relaxed SiAs2RuSe crystal. The functional is PBE.

Cell and atoms, written as POSCAR:
```
SiAs2RuSe
1.0
4.616 0.000 0.000
0.000 4.616 0.000
0.000 0.000 5.410
Si As Ru Se
1 2 1 1
Direct
0.000 0.000 0.000 Si
0.000 0.500 0.500 As
0.500 0.000 0.500 As
0.500 0.500 0.500 Ru
0.500 0.500 0.000 Se
```

Its polymorph energy (0 for the lowest one) is 0 meV per atom. The total magnetization is 0.000 μB per cell.

=====

# 15
This record from the Alexandria database describes a relaxed SiAsRuSe2 crystal. The functional is PBE.

Cell and atoms, written as POSCAR:
```
SiAsRuSe2
1.0
5.011 0.000 0.000
0.000 5.011 0.000
0.000 0.000 4.569
Si As Ru Se
1 1 1 2
Direct
0.000 0.000 0.000 Si
0.500 0.500 0.000 As
0.500 0.500 0.500 Ru
0.000 0.500 0.500 Se
0.500 0.000 0.500 Se
```

Its polymorph energy (0 for the lowest one) is 0 meV per atom. The total magnetization is 0.000 μB per cell.

=====

# 16
This record from the Alexandria database describes a relaxed SiAs2RuSe crystal. The functional is PBE.

Cell and atoms, written as POSCAR:
```
SiAs2RuSe
1.0
4.607 0.000 0.000
0.000 4.607 0.000
0.000 0.000 4.673
Si As Ru Se
1 2 1 1
Direct
0.000 0.000 0.000 Si
0.000 0.500 0.000 As
0.500 0.000 0.000 As
0.500 0.500 0.500 Ru
0.000 0.000 0.500 Se
```

Its polymorph energy (0 for the lowest one) is 342 meV per atom. The total magnetization is 0.000 μB per cell.

=====

# 17
This record from the Alexandria database describes a relaxed SiAsRuSe2 crystal. The functional is PBE.

Cell and atoms, written as POSCAR:
```
SiAsRuSe2
1.0
4.665 0.000 0.000
0.000 4.665 0.000
0.000 0.000 4.629
Si As Ru Se
1 1 1 2
Direct
0.000 0.000 0.000 Si
0.000 0.000 0.500 As
0.500 0.500 0.500 Ru
0.000 0.500 0.000 Se
0.500 0.000 0.000 Se
```

Its polymorph energy (0 for the lowest one) is 278 meV per atom. The total magnetization is 0.000 μB per cell.

=====

# 18
This record from the Alexandria database describes a relaxed SnAsRuSe2 crystal. The functional is PBE.

Cell and atoms, written as POSCAR:
```
SnAsRuSe2
1.0
5.121 0.000 0.000
0.000 5.121 0.000
0.000 0.000 4.566
Sn As Ru Se
1 1 1 2
Direct
0.000 0.000 0.000 Sn
0.500 0.500 0.000 As
0.500 0.500 0.500 Ru
0.000 0.500 0.500 Se
0.500 0.000 0.500 Se
```

Its polymorph energy (0 for the lowest one) is 0 meV per atom. The total magnetization is 0.000 μB per cell.

=====

# 19
This record from the Alexandria database describes a relaxed SrAsRuSe2 crystal. The functional is PBE.

Cell and atoms, written as POSCAR:
```
SrAsRuSe2
1.0
5.222 0.000 0.000
0.000 5.222 0.000
0.000 0.000 4.582
Sr As Ru Se
1 1 1 2
Direct
0.000 0.000 0.000 Sr
0.500 0.500 0.000 As
0.500 0.500 0.500 Ru
0.000 0.500 0.500 Se
0.500 0.000 0.500 Se
```

Its polymorph energy (0 for the lowest one) is 0 meV per atom. The total magnetization is 0.907 μB per cell.

=====

# 20
This record from the Alexandria database describes a relaxed SrAs2RuSe crystal. The functional is PBE.

Cell and atoms, written as POSCAR:
```
SrAs2RuSe
1.0
5.564 0.000 0.000
0.000 5.564 0.000
0.000 0.000 5.532
Sr As Ru Se
1 2 1 1
Direct
0.000 0.000 0.000 Sr
0.000 0.500 0.000 As
0.500 0.000 0.000 As
0.500 0.500 0.500 Ru
0.000 0.000 0.500 Se
```

Its polymorph energy (0 for the lowest one) is 1895 meV per atom. The total magnetization is 2.664 μB per cell.

=====

# 21
This record from the Alexandria database describes a relaxed SrAsRuSe2 crystal. The functional is PBE.

Cell and atoms, written as POSCAR:
```
SrAsRuSe2
1.0
5.618 0.000 0.000
0.000 5.618 0.000
0.000 0.000 5.612
Sr As Ru Se
1 1 1 2
Direct
0.000 0.000 0.000 Sr
0.000 0.000 0.500 As
0.500 0.500 0.500 Ru
0.000 0.500 0.000 Se
0.500 0.000 0.000 Se
```

Its polymorph energy (0 for the lowest one) is 1708 meV per atom. The total magnetization is 2.793 μB per cell.

=====

# 22
This record from the Alexandria database describes a relaxed SrAs2RuSe crystal. The functional is PBE.

Cell and atoms, written as POSCAR:
```
SrAs2RuSe
1.0
4.690 0.000 0.000
0.000 4.690 0.000
0.000 0.000 5.686
Sr As Ru Se
1 2 1 1
Direct
0.000 0.000 0.000 Sr
0.000 0.500 0.500 As
0.500 0.000 0.500 As
0.500 0.500 0.500 Ru
0.500 0.500 0.000 Se
```

Its polymorph energy (0 for the lowest one) is 0 meV per atom. The total magnetization is 0.000 μB per cell.

=====

# 23
This record from the Alexandria database describes a relaxed SrAs2RuSe crystal. The functional is PBE.

Cell and atoms, written as POSCAR:
```
SrAs2RuSe
1.0
5.094 0.000 0.000
0.000 5.094 0.000
0.000 0.000 5.499
Sr As Ru Se
1 2 1 1
Direct
0.000 0.000 0.000 Sr
0.000 0.500 0.500 As
0.500 0.000 0.500 As
0.500 0.500 0.000 Ru
0.000 0.000 0.500 Se
```

Its polymorph energy (0 for the lowest one) is 1210 meV per atom. The total magnetization is 2.201 μB per cell.

=====

# 24
This record from the Alexandria database describes a relaxed TaAsRuSe2 crystal. The functional is PBE.

Cell and atoms, written as POSCAR:
```
TaAsRuSe2
1.0
4.961 0.000 0.000
0.000 4.961 0.000
0.000 0.000 5.033
Ta As Ru Se
1 1 1 2
Direct
0.000 0.000 0.000 Ta
0.000 0.000 0.500 As
0.500 0.500 0.500 Ru
0.000 0.500 0.000 Se
0.500 0.000 0.000 Se
```

Its polymorph energy (0 for the lowest one) is 0 meV per atom. The total magnetization is 3.142 μB per cell.

=====

# 25
This record from the Alexandria database describes a relaxed TaAsRuSe2 crystal. The functional is PBE.

Cell and atoms, written as POSCAR:
```
TaAsRuSe2
1.0
4.821 0.000 0.000
0.000 4.821 0.000
0.000 0.000 4.617
Ta As Ru Se
1 1 1 2
Direct
0.000 0.000 0.000 Ta
0.500 0.500 0.000 As
0.500 0.500 0.500 Ru
0.000 0.500 0.500 Se
0.500 0.000 0.500 Se
```

Its polymorph energy (0 for the lowest one) is 169 meV per atom. The total magnetization is 0.009 μB per cell.

=====

# 26
This record from the Alexandria database describes a relaxed TcAs2RuSe crystal. The functional is PBE.

Cell and atoms, written as POSCAR:
```
TcAs2RuSe
1.0
4.623 0.000 0.000
0.000 4.623 0.000
0.000 0.000 5.275
Tc As Ru Se
1 2 1 1
Direct
0.000 0.000 0.000 Tc
0.000 0.500 0.500 As
0.500 0.000 0.500 As
0.500 0.500 0.500 Ru
0.500 0.500 0.000 Se
```

Its polymorph energy (0 for the lowest one) is 0 meV per atom. The total magnetization is 3.396 μB per cell.

=====

# 27
This record from the Alexandria database describes a relaxed TeAs2RuSe crystal. The functional is PBE.

Cell and atoms, written as POSCAR:
```
TeAs2RuSe
1.0
4.700 0.000 0.000
0.000 4.700 0.000
0.000 0.000 5.245
Te As Ru Se
1 2 1 1
Direct
0.000 0.000 0.000 Te
0.000 0.500 0.500 As
0.500 0.000 0.500 As
0.500 0.500 0.500 Ru
0.500 0.500 0.000 Se
```

Its polymorph energy (0 for the lowest one) is 0 meV per atom. The total magnetization is 0.000 μB per cell.

=====

# 28
This record from the Alexandria database describes a relaxed Th4AsRuSe2 crystal. The functional is PBE.

Cell and atoms, written as POSCAR:
```
Th4AsRuSe2
1.0
7.408 0.000 0.000
0.000 4.109 0.000
-2.369 0.000 7.057
Th As Ru Se
4 1 1 2
Direct
0.223 0.000 0.227 Th
0.238 0.500 0.754 Th
0.762 0.500 0.246 Th
0.777 0.000 0.773 Th
0.000 0.000 0.500 As
0.000 0.500 0.000 Ru
0.500 0.000 0.000 Se
0.500 0.500 0.500 Se
```

The total magnetization is 0.000 μB per cell.

=====

# 29
This record from the Alexandria database describes a relaxed Th6AsRu2Se3 crystal. The functional is PBE.

Cell and atoms, written as POSCAR:
```
Th6AsRu2Se3
1.0
3.623 -6.268 0.000
3.623 6.268 0.000
-2.412 0.000 7.121
Th As Ru Se
6 1 2 3
Direct
0.073 0.424 0.775 Th
0.223 0.223 0.223 Th
0.424 0.073 0.775 Th
0.576 0.927 0.225 Th
0.777 0.777 0.777 Th
0.927 0.576 0.225 Th
0.500 0.500 0.000 As
0.168 0.832 0.000 Ru
0.832 0.168 0.000 Ru
0.000 0.000 0.500 Se
0.342 0.658 0.500 Se
0.658 0.342 0.500 Se
```

The total magnetization is 0.000 μB per cell.

=====

| no. | raw formation energy (eV/atom) | volume (Å³/f.u.) |
| --- | --- | --- |
| 1 | 1.07 | 93.51 |
| 2 | 0.59 | 113.20 |
| 3 | 0.43 | 68.82 |
| 4 | 0.10 | 81.17 |
| 5 | 0.13 | 90.39 |
| 6 | -0.02 | 79.73 |
| 7 | 0.32 | 77.97 |
| 8 | 0.21 | 73.34 |
| 9 | -0.09 | 91.84 |
| 10 | 0.43 | 77.99 |
| 11 | 0.53 | 69.06 |
| 12 | 0.00 | 85.41 |
| 13 | 0.25 | 94.48 |
| 14 | 0.68 | 115.29 |
| 15 | 0.70 | 114.71 |
| 16 | 1.02 | 99.20 |
| 17 | 0.98 | 100.75 |
| 18 | 0.27 | 119.73 |
| 19 | -0.45 | 124.96 |
| 20 | 1.52 | 171.23 |
| 21 | 1.26 | 177.12 |
| 22 | -0.38 | 125.04 |
| 23 | 0.83 | 142.69 |
| 24 | 0.79 | 123.85 |
| 25 | 0.96 | 107.32 |
| 26 | 1.01 | 112.71 |
| 27 | 0.39 | 115.85 |
| 28 | -1.25 | 214.77 |
| 29 | -1.19 | 323.40 |